Computed, not measured: a relaxed structure of Pr4DyEr7 at the GGA-PBE level of DFT.

Cell: 6.579 6.861 9.051 Å, 84.30 77.25 81.25°
Fractional coordinates of all 12 atoms:
1 Pr 0.140 0.307 0.287
2 Pr 0.334 0.886 0.692
3 Pr 0.666 0.114 0.308
4 Pr 0.860 0.693 0.713
5 Dy 0.500 0.500 0.000
6 Er 0.011 0.253 0.953
7 Er 0.180 0.797 0.354
8 Er 0.315 0.395 0.621
9 Er 0.500 0.000 0.000
10 Er 0.685 0.605 0.379
11 Er 0.820 0.203 0.646
12 Er 0.989 0.747 0.047

Results
Volume: 32.739 Å³/atom
SG: P-1, No. 2
DFT total energy: -4.549 eV/atom
Crystal system: triclinic
DFT formation energy: 88.9 meV/atom


Computed, not measured: a relaxed structure of Pr8DyEr2 at the GGA-PBE level of DFT.

Cell: 8.624 8.624 5.519 Å, 90.10 90.10 104.93°
Fractional coordinates of all 11 atoms:
1 Pr 0.165 0.165 0.000
2 Pr 0.200 0.469 0.499
3 Pr 0.247 0.753 0.000
4 Pr 0.469 0.200 0.499
5 Pr 0.531 0.800 0.501
6 Pr 0.753 0.247 0.000
7 Pr 0.800 0.531 0.501
8 Pr 0.835 0.835 0.000
9 Dy 0.500 0.500 0.000
10 Er 0.119 0.881 0.500
11 Er 0.881 0.119 0.500

Results
E above lowest polymorph: 17 meV/atom
Volume: 36.053 Å³/atom
SG: C2/m, No. 12
DFT total energy: -4.571 eV/atom
Crystal system: monoclinic
DFT formation energy: 153.3 meV/atom


Computed, not measured: a relaxed structure of Pr7Dy2Er at the GGA-PBE level of DFT.

Cell: 10.448 10.448 3.544 Å, 90.00 90.00 108.55°
Fractional coordinates of all 10 atoms:
1 Pr 0.000 0.000 0.000
2 Pr 0.118 0.375 0.000
3 Pr 0.179 0.821 0.500
4 Pr 0.375 0.118 0.000
5 Pr 0.625 0.882 0.000
6 Pr 0.821 0.179 0.500
7 Pr 0.882 0.625 0.000
8 Dy 0.335 0.665 0.000
9 Dy 0.665 0.335 0.000
10 Er 0.500 0.500 0.500

Results
E above lowest polymorph: 0 meV/atom
Volume: 36.674 Å³/atom
SG: Cmmm, No. 65
DFT total energy: -4.355 eV/atom
Crystal system: orthorhombic
DFT formation energy: 367.6 meV/atom


Computed, not measured: a relaxed structure of Pr3Dy2Er6 at the GGA-PBE level of DFT.

Cell: 16.942 16.942 16.942 Å, 163.87 163.87 22.88°
Fractional coordinates of all 11 atoms:
1 Pr 0.000 0.000 0.000
2 Pr 0.205 0.205 0.000
3 Pr 0.795 0.795 0.000
4 Dy 0.454 0.454 0.000
5 Dy 0.546 0.546 0.000
6 Er 0.120 0.620 0.500
7 Er 0.309 0.309 0.000
8 Er 0.380 0.880 0.500
9 Er 0.620 0.120 0.500
10 Er 0.691 0.691 0.000
11 Er 0.880 0.380 0.500

Results
E above lowest polymorph: 64 meV/atom
Volume: 34.101 Å³/atom
SG: I4/mmm, No. 139
DFT total energy: -4.358 eV/atom
Crystal system: tetragonal
DFT formation energy: 271.5 meV/atom